No. 1
Hf6TlPt | PBE | optimized geometry

## Properties
The total magnetization comes out at 0.00 μB/cell. The total energy is -8.76 eV per atom. As for the symmetry: R-3 (148). The value obtained for the density of states at the Fermi level is 9.20 states/eV/cell. The energy of formation comes out at -0.240 eV per atom.

Cell: 7.7757 7.7781 5.4972 Å, 44.97 45.01 60.00°
Sites, in units of the cell vectors:
Hf (0.0009, 0.4991, 0.2559)
Hf (0.4998, 0.2439, 0.2557)
Hf (0.7558, 0.9996, 0.7445)
Hf (0.5002, 0.7561, 0.7443)
Hf (0.2442, 0.0004, 0.2555)
Hf (0.9991, 0.5009, 0.7441)
Tl (0.5000, 0.5000, 0.5000)
Pt (0.0000, 0.0000, 0.0000)

---

No. 2
FeNCl3 | PBE | optimized geometry

## Properties
The calculation puts the uncorrected formation energy at 1.24 eV per atom. The total magnetization comes out at 0.00 μB/cell. The total energy is -3.22 eV per atom. As for the symmetry: Pm-3m (221). The value obtained for the density of states at the Fermi level is 6.17 states/eV/cell.

Cell: 4.4708 4.4708 4.4708 Å, 90.00 90.00 90.00°
Sites, in units of the cell vectors:
Cl (0.0000, 0.0000, 0.5000)
Cl (0.5000, 0.0000, 0.0000)
Cl (0.0000, 0.5000, 0.0000)
N (0.5000, 0.5000, 0.5000)
Fe (0.0000, 0.0000, 0.0000)

---

No. 3
GaTe2HOs | PBE | optimized geometry

## Properties
The total magnetization comes out at 3.10 μB/cell. The total energy is -3.16 eV per atom. As for the symmetry: P4/mmm (123). The value obtained for the density of states at the Fermi level is 5.40 states/eV/cell.

Cell: 5.4019 4.7323 5.4019 Å, 90.00 90.00 90.00°
Sites, in units of the cell vectors:
Ga (0.0000, 0.0000, 0.0000)
Te (0.5000, 0.0000, 0.0000)
Te (0.0000, 0.0000, 0.5000)
H (0.5000, 0.5000, 0.5000)
Os (0.0000, 0.5000, 0.0000)

---

No. 4
U2Ni4Ge3Pd | PBE | optimized geometry

## Properties
The total magnetization comes out at 3.88 μB/cell. The total energy is -6.84 eV per atom. As for the symmetry: P-4m2 (115). The value obtained for the density of states at the Fermi level is 16.84 states/eV/cell. The energy of formation comes out at -0.368 eV per atom.

Cell: 3.8556 3.8556 10.7606 Å, 90.00 90.00 90.00°
Sites, in units of the cell vectors:
Ge (0.5000, 0.0000, 0.8745)
Ge (0.0000, 0.5000, 0.1255)
Ge (0.0000, 0.0000, 0.5000)
U (0.0000, 0.5000, 0.7466)
U (0.5000, 0.0000, 0.2534)
Ni (0.5000, 0.0000, 0.6579)
Ni (0.0000, 0.0000, 0.0000)
Ni (0.0000, 0.5000, 0.3421)
Ni (0.5000, 0.5000, 0.0000)
Pd (0.5000, 0.5000, 0.5000)

---

No. 5
LiGe2WN | PBE | optimized geometry

## Properties
The calculation puts the uncorrected formation energy at 1.65 eV per atom. The total magnetization comes out at 4.22 μB/cell. The total energy is -4.84 eV per atom. As for the symmetry: P4/mmm (123). The value obtained for the density of states at the Fermi level is 2.68 states/eV/cell.

Cell: 4.8654 5.5161 4.8654 Å, 90.00 90.00 90.00°
Sites, in units of the cell vectors:
Ge (0.5000, 0.0000, 0.0000)
Ge (0.0000, 0.0000, 0.5000)
Li (0.0000, 0.5000, 0.0000)
N (0.5000, 0.5000, 0.5000)
W (0.0000, 0.0000, 0.0000)

---

No. 6
BaMg2PbCl8 | PBE | optimized geometry

## Properties
The calculation puts the uncorrected formation energy at -1.74 eV per atom. The total magnetization comes out at 0.00 μB/cell. The total energy is -3.71 eV per atom. As for the symmetry: P-3 (147). The value obtained for the density of states at the Fermi level is 0.00 states/eV/cell.

Cell: 6.6542 6.6542 9.7114 Å, 90.00 90.00 120.00°
Sites, in units of the cell vectors:
Mg (0.6667, 0.3333, 0.2302)
Mg (0.3333, 0.6667, 0.7698)
Cl (0.3333, 0.6667, 0.0071)
Cl (0.3085, 0.9952, 0.7089)
Cl (0.6867, 0.6915, 0.7089)
Cl (0.0048, 0.3133, 0.7089)
Cl (0.9952, 0.6867, 0.2911)
Cl (0.6667, 0.3333, 0.9929)
Cl (0.6915, 0.0048, 0.2911)
Cl (0.3133, 0.3085, 0.2911)
Pb (0.0000, 0.0000, 0.5000)
Ba (0.0000, 0.0000, 0.0000)